Material: NdSi2Pt2
Method: DFT, GGA-PBEsol
State: optimized geometry

Output
- Total energy: -72.0 eV for the cell shown
- E_form (uncorrected): -1.0849 eV/atom
- Calculated volume: 17.82 Å³/atom

a b c (Å): 4.2608 4.2608 9.8147
angles (deg): 90.00 90.00 90.00
Space group I4/mmm (No. 139)
One atom of each set of equivalent atoms:
Nd1 0.0000 0.0000 0.0000 (multiplicity 2)
Si1 0.0000 0.5000 0.2500 (multiplicity 4)
Pt1 0.0000 0.0000 0.3638 (multiplicity 4)

=====

Material: SrTcO2
Method: DFT, GGA-PBEsol
State: optimized geometry

Output
- Total energy: -83.4 eV for the cell shown
- E_form (uncorrected): -1.0482 eV/atom
- Calculated volume: 15.29 Å³/atom

a b c (Å): 3.4242 3.4242 18.0658
angles (deg): 90.00 90.00 120.00
Space group R-3m (No. 166, hexagonal axes)
One atom of each set of equivalent atoms:
Sr1 0.0000 0.0000 0.0000 (multiplicity 3)
Tc1 0.0000 0.0000 0.5000 (multiplicity 3)
O1 0.0000 0.0000 0.1284 (multiplicity 6)

=====

Material: TcTeIO2
Method: DFT, GGA-PBEsol
State: optimized geometry

Output
- Total energy: -28.2 eV for the cell shown
- E above lowest polymorph: 0 kJ/mol of formula units
- E_form (uncorrected): -0.2342 eV/atom
- Calculated volume: 18.43 Å³/atom

a b c (Å): 3.9488 3.9488 5.9099
angles (deg): 90.00 90.00 90.00
Space group P4/mmm (No. 123)
One atom of each set of equivalent atoms:
Tc1 0.0000 0.0000 0.0000 (multiplicity 1)
Te1 0.5000 0.5000 0.5000 (multiplicity 1)
I1 0.0000 0.0000 0.5000 (multiplicity 1)
O1 0.0000 0.5000 0.0000 (multiplicity 2)

=====

Material: ZrAlIr2
Method: DFT, GGA-PBEsol
State: optimized geometry

Output
- Total energy: -133.0 eV for the cell shown
- Calculated volume: 17.54 Å³/atom

a b c (Å): 4.0499 4.0499 17.1059
angles (deg): 90.00 90.00 90.00
Space group I-42d (No. 122)
One atom of each set of equivalent atoms:
Zr1 0.0000 0.0000 0.0000 (multiplicity 4)
Al1 0.0000 0.0000 0.5000 (multiplicity 4)
Ir1 0.2089 0.2500 0.6250 (multiplicity 8)